Material: La4Nd4Er3
Method: DFT, GGA-PBE
State: relaxed

Space-group type ... Immm, No. 71
D(E_F) ... 16.66 states/eV/f.u.
Uncorrected energy ... -51.23 eV/f.u.
V ... 35.60 Å³/atom
Excess energy over the best structure of this formula in the dataset ... 0.0572 eV per atom
Theoretical density ... 6.93 g/cm³

Cell and atoms, written as POSCAR:
```
La4Nd4Er3
1.0
-1.841 4.809 11.060
1.841 -4.809 11.060
1.841 4.809 -11.060
La Nd Er
4 4 3
direct
0.025 0.857 0.168
0.311 0.143 0.168
0.689 0.857 0.832
0.975 0.143 0.832
0.266 0.766 0.500
0.312 0.000 0.312
0.688 0.000 0.688
0.734 0.234 0.500
0.000 0.500 0.500
0.397 0.397 0.000
0.603 0.603 0.000
```

Material: La2NdEr5
Method: DFT, GGA-PBE
State: relaxed

Space-group type ... Cmcm, No. 63
D(E_F) ... 13.05 states/eV/f.u.
Uncorrected energy ... -36.32 eV/f.u.
V ... 33.59 Å³/atom
Excess energy over the best structure of this formula in the dataset ... 0.1184 eV per atom
Theoretical density ... 7.78 g/cm³

Cell and atoms, written as POSCAR:
```
La2NdEr5
1.0
2.841 -5.656 0.000
2.841 5.656 0.000
0.000 0.000 16.724
La Nd Er
4 2 10
direct
0.222 0.778 0.635
0.222 0.778 0.865
0.778 0.222 0.135
0.778 0.222 0.365
0.202 0.798 0.250
0.798 0.202 0.750
0.091 0.909 0.071
0.091 0.909 0.429
0.393 0.607 0.059
0.393 0.607 0.441
0.491 0.509 0.750
0.509 0.491 0.250
0.607 0.393 0.559
0.607 0.393 0.941
0.909 0.091 0.571
0.909 0.091 0.929
```

Repeat the second record exactly.
Material: La2NdEr5
Method: DFT, GGA-PBE
State: relaxed

Space-group type ... Cmcm, No. 63
D(E_F) ... 13.05 states/eV/f.u.
Uncorrected energy ... -36.32 eV/f.u.
V ... 33.59 Å³/atom
Excess energy over the best structure of this formula in the dataset ... 0.1184 eV per atom
Theoretical density ... 7.78 g/cm³

Cell and atoms, written as POSCAR:
```
La2NdEr5
1.0
2.841 -5.656 0.000
2.841 5.656 0.000
0.000 0.000 16.724
La Nd Er
4 2 10
direct
0.222 0.778 0.635
0.222 0.778 0.865
0.778 0.222 0.135
0.778 0.222 0.365
0.202 0.798 0.250
0.798 0.202 0.750
0.091 0.909 0.071
0.091 0.909 0.429
0.393 0.607 0.059
0.393 0.607 0.441
0.491 0.509 0.750
0.509 0.491 0.250
0.607 0.393 0.559
0.607 0.393 0.941
0.909 0.091 0.571
0.909 0.091 0.929
```

Question: What is the formula in the second record?
Answer: La2NdEr5

Question: Among the records above, which one has the lowest D(E_F)?
Answer: La2NdEr5